1.
Pa2Mn3In2, optimized geometry, DFT GGA-PBE; DFT formation energy = -69 kJ/mol of formula units; total DFT energy (no corrections) = -0.2766 Ha/atom; DOS(E_F) = 0.786 states/eV/atom
1.0
4.366 0.000 -1.620
-0.225 4.735 -0.608
-0.061 -0.083 6.528
Pa Mn In
2 3 2
Cartesian
3.532 2.885 2.828
0.547 1.766 1.473
0.000 0.000 0.000
3.417 0.657 2.518
0.661 3.994 1.783
2.364 3.854 -0.322
1.715 0.797 4.623

2.
PaMn4InS8, optimized geometry, DFT GGA-PBE; energy relative to the elements, uncorrected = -766 meV per atom; total DFT energy (no corrections) = -0.2432 Ha/atom; DOS(E_F) = 0.340 states/eV/atom
1.0
-3.621 5.847 -3.166
-1.243 0.089 -7.468
-7.041 -0.908 -2.677
Pa Mn In S
1 4 1 8
Cartesian
-4.914 5.909 -10.626
-3.788 3.667 -7.002
-7.769 5.415 -8.273
-6.602 2.589 -10.384
-8.379 5.459 -11.938
-8.143 1.347 -6.304
-7.008 0.855 -8.512
-8.255 3.875 -6.256
-6.356 0.809 -4.595
-3.268 1.102 -3.281
-4.828 4.181 -4.862
-3.613 1.240 -7.060
-5.463 4.227 -8.677
-8.725 3.880 -10.016